1.
This record from Alexandria describes a geometry-optimized CrW2Cl structure. The functional is PBE.

a = 3.020 Å, b = 3.020 Å, c = 7.193 Å
α = 90.00°, β = 90.00°, γ = 90.00°
Element x y z (fractional)
Cr 0.000 0.000 0.000
W 0.000 0.000 0.439
W 0.500 0.500 0.206
Cl 0.500 0.500 0.713

Results
- theoretical density (g/cm3) = 11.5
- energy above the lowest structure with this stoichiometry (meV/atom) = 179
- ΔE_f (raw) (meV/atom) = 550

=====

2.
This record from Alexandria describes a geometry-optimized CrW2Cl structure. The functional is PBE.

a = 2.968 Å, b = 4.474 Å, c = 4.732 Å
α = 90.00°, β = 90.00°, γ = 90.00°
Element x y z (fractional)
Cr 0.000 0.000 0.000
W 0.000 0.500 0.500
W 0.500 0.000 0.500
Cl 0.500 0.500 0.000

Results
- theoretical density (g/cm3) = 12.0
- energy above the lowest structure with this stoichiometry (meV/atom) = 583
- ΔE_f (raw) (meV/atom) = 954

=====

| no. | total energy (eV per atom) |
| --- | --- |
| 1 | -8.7936 |
| 2 | -8.3901 |